First-principles (GGA-PBE) data for CsPOsAu after structural relaxation, as listed in Alexandria via LeMat-Bulk.

Cell and atoms, written as extended XYZ:
```
8
Lattice="-1.377 -2.815 -2.423 0.954 -2.766 2.670 -12.111 1.162 5.530" Properties=species:S:1:pos:R:3 pbc="T T T"
Cs -3.517 -3.878 1.646
Cs -9.016 -0.540 4.130
P -11.264 -3.135 5.183
P -1.270 -1.283 0.593
Os -0.794 -2.802 -1.150
Os 0.371 -2.778 1.397
Au -5.684 -2.197 4.162
Au -6.849 -2.221 1.615
```

Values from the calculation:
- energy of formation from the pure elements (eV/atom) = -0.31